VASP calculation (PBE) on a geometry-optimized Ba2MgI6 structure.

Calculated values
For the total energy, the calculation gives -28.54 eV/f.u. Its total magnetization is 0.0 μB per cell. The calculation puts the uncorrected formation energy at -1.53 eV/atom.

Cell: 7.7528 8.9665 13.3734 Å, 90.00 124.29 90.00°
Positions (direct):
Ba 0.2167 0.1098 0.2557
Ba 0.2167 0.3902 0.7557
Ba 0.7833 0.6098 0.2443
Ba 0.7833 0.8902 0.7443
Mg 0.5000 0.0000 0.0000
Mg 0.5000 0.5000 0.5000
I 0.1278 0.1647 0.9465
I 0.1278 0.3353 0.4465
I 0.2851 0.7002 0.9465
I 0.2851 0.7998 0.4465
I 0.3582 0.0242 0.7487
I 0.3582 0.4758 0.2487
I 0.6418 0.5242 0.7513
I 0.6418 0.9758 0.2513
I 0.7149 0.2002 0.5535
I 0.7149 0.2998 0.0535
I 0.8722 0.6647 0.5535
I 0.8722 0.8353 0.0535

VASP calculation (PBE) on a geometry-optimized Ba2Mg2I structure.

Calculated values
For the total energy, the calculation gives -10.28 eV/f.u. As for the excess energy over the best structure of this formula in the dataset: 0.000 eV per atom. Its total magnetization is 0.0 μB per cell. The calculation puts the uncorrected formation energy at -0.34 eV/atom.

Cell: 9.7314 9.7314 4.9908 Å, 90.00 90.00 90.00°
Positions (direct):
Ba 0.1827 0.3173 0.0000
Ba 0.3173 0.8173 0.0000
Ba 0.6827 0.1827 0.0000
Ba 0.8173 0.6827 0.0000
Mg 0.1071 0.6071 0.5000
Mg 0.3929 0.1071 0.5000
Mg 0.6071 0.8929 0.5000
Mg 0.8929 0.3929 0.5000
I 0.0000 0.0000 0.0000
I 0.5000 0.5000 0.0000

VASP calculation (PBE) on a geometry-optimized BaMgMn2I8 structure.

Calculated values
For the total energy, the calculation gives -44.40 eV/f.u. Its total magnetization is 10.0 μB per cell. The calculation puts the uncorrected formation energy at -0.85 eV/atom.

Cell: 7.4285 7.4285 10.0736 Å, 90.00 90.00 120.00°
Positions (direct):
Ba 0.0000 0.0000 0.0000
Mg 0.0000 0.0000 0.5000
Mn 0.3333 0.6667 0.7394
Mn 0.6667 0.3333 0.2606
I 0.0112 0.6971 0.3191
I 0.3029 0.3141 0.3191
I 0.3141 0.0112 0.6809
I 0.3333 0.6667 0.0029
I 0.6667 0.3333 0.9971
I 0.6859 0.9888 0.3191
I 0.6971 0.6859 0.6809
I 0.9888 0.3029 0.6809

VASP calculation (PBE) on a geometry-optimized BaMgIN2 structure.

Calculated values
For the total energy, the calculation gives -15.96 eV/f.u. As for the excess energy over the best structure of this formula in the dataset: 0.746 eV per atom. Its total magnetization is 2.0 μB per cell. The calculation puts the uncorrected formation energy at 1.15 eV/atom.

Cell: 4.7740 4.7740 7.0111 Å, 90.00 90.00 90.00°
Positions (direct):
Ba 0.0000 0.0000 0.0000
Mg 0.5000 0.5000 0.5000
I 0.0000 0.0000 0.5000
N 0.0000 0.5000 0.0000
N 0.5000 0.0000 0.0000

VASP calculation (PBE) on a geometry-optimized BaMgI2N structure.

Calculated values
For the total energy, the calculation gives -17.56 eV/f.u. As for the excess energy over the best structure of this formula in the dataset: 0.000 eV per atom. Its total magnetization is 1.0 μB per cell. The calculation puts the uncorrected formation energy at -0.52 eV/atom.

Cell: 6.0044 6.0044 4.1441 Å, 90.00 90.00 90.00°
Positions (direct):
Ba 0.0000 0.0000 0.0000
Mg 0.5000 0.5000 0.5000
I 0.0000 0.5000 0.5000
I 0.5000 0.0000 0.5000
N 0.5000 0.5000 0.0000

VASP calculation (PBE) on a geometry-optimized BaMgI2N structure.

Calculated values
For the total energy, the calculation gives -14.25 eV/f.u. As for the excess energy over the best structure of this formula in the dataset: 0.661 eV per atom. Its total magnetization is 3.0 μB per cell. The calculation puts the uncorrected formation energy at 0.14 eV/atom.

Cell: 6.8227 6.8227 5.4201 Å, 90.00 90.00 90.00°
Positions (direct):
Ba 0.0000 0.0000 0.0000
Mg 0.5000 0.5000 0.5000
I 0.0000 0.5000 0.0000
I 0.5000 0.0000 0.0000
N 0.0000 0.0000 0.5000

VASP calculation (PBE) on a geometry-optimized BaMgIN2 structure.

Calculated values
For the total energy, the calculation gives -19.69 eV/f.u. As for the excess energy over the best structure of this formula in the dataset: 0.000 eV per atom. Its total magnetization is 3.0 μB per cell. The calculation puts the uncorrected formation energy at 0.40 eV/atom.

Cell: 4.6295 4.6295 5.4823 Å, 90.00 90.00 90.00°
Positions (direct):
Ba 0.0000 0.0000 0.0000
Mg 0.5000 0.5000 0.5000
I 0.5000 0.5000 0.0000
N 0.0000 0.5000 0.5000
N 0.5000 0.0000 0.5000

VASP calculation (PBE) on a geometry-optimized BaNa2MgI6 structure.

Calculated values
For the total energy, the calculation gives -27.62 eV/f.u. Its total magnetization is 0.0 μB per cell. The calculation puts the uncorrected formation energy at -1.22 eV/atom.

Cell: 8.6677 8.6677 6.9866 Å, 90.00 90.00 90.00°
Positions (direct):
Ba 0.0000 0.0000 0.0000
Na 0.0000 0.5000 0.2829
Na 0.5000 0.0000 0.2829
Mg 0.5000 0.5000 0.0013
I 0.0000 0.0000 0.5218
I 0.2706 0.2706 0.1330
I 0.2706 0.7294 0.1330
I 0.5000 0.5000 0.6213
I 0.7294 0.2706 0.1330
I 0.7294 0.7294 0.1330

VASP calculation (PBE) on a geometry-optimized BaMgNiI2 structure.

Calculated values
For the total energy, the calculation gives -14.16 eV/f.u. Its total magnetization is 0.1 μB per cell. The calculation puts the uncorrected formation energy at -0.35 eV/atom.

Cell: 5.7541 5.7541 5.0105 Å, 90.00 90.00 90.00°
Positions (direct):
Ba 0.0000 0.0000 0.0000
Mg 0.5000 0.5000 0.5000
Ni 0.5000 0.5000 0.0000
I 0.0000 0.5000 0.5000
I 0.5000 0.0000 0.5000

VASP calculation (PBE) on a geometry-optimized BaMgIO2 structure.

Calculated values
For the total energy, the calculation gives -21.25 eV/f.u. As for the excess energy over the best structure of this formula in the dataset: 0.000 eV per atom. Its total magnetization is 0.0 μB per cell. The calculation puts the uncorrected formation energy at -1.25 eV/atom.

Cell: 4.5260 4.5260 5.4254 Å, 90.00 90.00 90.00°
Positions (direct):
Ba 0.0000 0.0000 0.0000
Mg 0.5000 0.5000 0.5000
I 0.5000 0.5000 0.0000
O 0.0000 0.5000 0.5000
O 0.5000 0.0000 0.5000

VASP calculation (PBE) on a geometry-optimized BaMgIO2 structure.

Calculated values
For the total energy, the calculation gives -17.90 eV/f.u. As for the excess energy over the best structure of this formula in the dataset: 0.671 eV per atom. Its total magnetization is 0.0 μB per cell. The calculation puts the uncorrected formation energy at -0.58 eV/atom.

Cell: 4.5700 4.5700 7.0736 Å, 90.00 90.00 90.00°
Positions (direct):
Ba 0.0000 0.0000 0.0000
Mg 0.5000 0.5000 0.5000
I 0.0000 0.0000 0.5000
O 0.0000 0.5000 0.0000
O 0.5000 0.0000 0.0000

VASP calculation (PBE) on a geometry-optimized Ba2MgOsI structure.

Calculated values
For the total energy, the calculation gives -12.87 eV/f.u. Its total magnetization is 1.7 μB per cell. The calculation puts the uncorrected formation energy at 1.07 eV/atom.

Cell: 6.4304 6.4304 5.4107 Å, 90.00 90.00 90.00°
Positions (direct):
Ba 0.0000 0.5000 0.0000
Ba 0.5000 0.0000 0.0000
Mg 0.0000 0.0000 0.0000
Os 0.5000 0.5000 0.5000
I 0.0000 0.0000 0.5000